A plane-wave DFT calculation with GGA-PBE was carried out for crystalline Pm2Sm4S9 at its relaxed geometry.

Cell and atoms, written as POSCAR:
```
Pm2Sm4S9
1.0
7.1093 0.0000 0.0000
-3.5547 6.1568 0.0000
0.0000 0.0000 18.8266
Pm Sm S
4 8 18
Direct
0.0000 0.0000 0.1470 Pm
0.0000 0.0000 0.3530 Pm
0.0000 0.0000 0.6470 Pm
0.0000 0.0000 0.8530 Pm
0.3333 0.6667 0.0187 Sm
0.3333 0.6667 0.3139 Sm
0.3333 0.6667 0.5187 Sm
0.3333 0.6667 0.8139 Sm
0.6667 0.3333 0.1861 Sm
0.6667 0.3333 0.4813 Sm
0.6667 0.3333 0.6861 Sm
0.6667 0.3333 0.9813 Sm
0.0000 0.2986 0.2500 S
0.0000 0.7014 0.7500 S
0.0349 0.3710 0.9165 S
0.0349 0.6639 0.4165 S
0.2986 0.0000 0.2500 S
0.2986 0.2986 0.7500 S
0.3361 0.3710 0.4165 S
0.3361 0.9651 0.9165 S
0.3710 0.0349 0.5835 S
0.3710 0.3361 0.0835 S
0.6290 0.6639 0.9165 S
0.6290 0.9651 0.4165 S
0.6639 0.0349 0.0835 S
0.6639 0.6290 0.5835 S
0.7014 0.0000 0.7500 S
0.7014 0.7014 0.2500 S
0.9651 0.3361 0.5835 S
0.9651 0.6290 0.0835 S
```

Total magnetization ... 0.00 μB/f.u.
Crystal system ... trigonal
Uncorrected energy ... -191.88 eV per cell


A plane-wave DFT calculation with GGA-PBE was carried out for crystalline Pm2SmS3 at its relaxed geometry.

Cell and atoms, written as POSCAR:
```
Pm2SmS3
1.0
-2.0167 2.8437 6.0292
2.0167 -2.8437 6.0292
2.0167 2.8437 -6.0292
Pm Sm S
2 1 3
Direct
0.1674 0.1674 0.0000 Pm
0.8326 0.8326 0.0000 Pm
0.5000 0.5000 0.0000 Sm
0.0000 0.5000 0.5000 S
0.3347 0.8347 0.5000 S
0.6653 0.1653 0.5000 S
```

Total magnetization ... 0.00 μB/f.u.
Crystal system ... orthorhombic
Uncorrected energy ... -38.78 eV per cell


A plane-wave DFT calculation with GGA-PBE was carried out for crystalline Pm3Sm2S8 at its relaxed geometry.

Cell and atoms, written as POSCAR:
```
Pm3Sm2S8
1.0
6.9982 -4.0882 0.0000
6.9982 4.0882 0.0000
-2.4219 0.0000 6.4355
Pm Sm S
3 2 8
Direct
0.0000 0.0000 0.0000 Pm
0.2638 0.7362 0.5000 Pm
0.7362 0.2638 0.5000 Pm
0.2645 0.2645 0.8460 Sm
0.7355 0.7355 0.1540 Sm
0.1056 0.6426 0.0842 S
0.1176 0.1176 0.4338 S
0.3574 0.8944 0.9158 S
0.3801 0.3801 0.5915 S
0.6199 0.6199 0.4085 S
0.6426 0.1056 0.0842 S
0.8824 0.8824 0.5662 S
0.8944 0.3574 0.9158 S
```

Total magnetization ... 0.00 μB/f.u.
Crystal system ... monoclinic
Uncorrected energy ... -80.64 eV per cell


A plane-wave DFT calculation with GGA-PBE was carried out for crystalline Pm2Sm3S4 at its relaxed geometry.

Cell and atoms, written as POSCAR:
```
Pm2Sm3S4
1.0
3.9835 0.0000 0.0000
-1.9918 3.4498 0.0000
0.0000 0.0000 16.3237
Pm Sm S
2 3 4
Direct
0.3333 0.6667 0.2047 Pm
0.6667 0.3333 0.7953 Pm
0.0000 0.0000 0.0000 Sm
0.3333 0.6667 0.5930 Sm
0.6667 0.3333 0.4070 Sm
0.0000 0.0000 0.3066 S
0.0000 0.0000 0.6934 S
0.3333 0.6667 0.8990 S
0.6667 0.3333 0.1010 S
```

Total magnetization ... 1.09 μB/f.u.
Crystal system ... trigonal
Uncorrected energy ... -56.10 eV per cell


A plane-wave DFT calculation with GGA-PBE was carried out for crystalline Pm3SmS6 at its relaxed geometry.

Cell and atoms, written as POSCAR:
```
Pm3SmS6
1.0
6.7837 0.0000 0.0000
0.0000 7.3873 0.0000
-6.7600 0.0000 10.3498
Pm Sm S
6 2 12
Direct
0.0000 0.0000 0.0000 Pm
0.0000 0.5000 0.5000 Pm
0.2919 0.0914 0.7503 Pm
0.2919 0.4086 0.2503 Pm
0.7081 0.5914 0.7497 Pm
0.7081 0.9086 0.2497 Pm
0.5000 0.0000 0.5000 Sm
0.5000 0.5000 0.0000 Sm
0.0907 0.0691 0.2508 S
0.0907 0.4309 0.7508 S
0.2658 0.6868 0.0857 S
0.2658 0.8132 0.5857 S
0.4070 0.1877 0.0856 S
0.4070 0.3123 0.5856 S
0.5930 0.6877 0.4144 S
0.5930 0.8123 0.9144 S
0.7342 0.1868 0.4143 S
0.7342 0.3132 0.9143 S
0.9093 0.5691 0.2492 S
0.9093 0.9309 0.7492 S
```

Excess energy over the best structure of this formula in the dataset ... 0.46 eV/f.u.
Total magnetization ... 0.00 μB/f.u.
Crystal system ... monoclinic


A plane-wave DFT calculation with GGA-PBE was carried out for crystalline Pm3Sm5S8 at its relaxed geometry.

Cell and atoms, written as POSCAR:
```
Pm3Sm5S8
1.0
4.0216 2.3218 6.5562
-4.0216 2.3218 6.5562
0.0000 -4.6437 6.5562
Pm Sm S
3 5 8
Direct
0.0000 0.5000 0.5000 Pm
0.5000 0.0000 0.5000 Pm
0.5000 0.5000 0.0000 Pm
0.0000 0.0000 0.0000 Sm
0.0000 0.0000 0.5000 Sm
0.0000 0.5000 0.0000 Sm
0.5000 0.0000 0.0000 Sm
0.5000 0.5000 0.5000 Sm
0.2483 0.7500 0.7500 S
0.2491 0.2491 0.2491 S
0.2500 0.2500 0.7517 S
0.2500 0.7517 0.2500 S
0.7500 0.2483 0.7500 S
0.7500 0.7500 0.2483 S
0.7509 0.7509 0.7509 S
0.7517 0.2500 0.2500 S
```

Total magnetization ... 0.00 μB/f.u.
Crystal system ... trigonal
Uncorrected energy ... -103.24 eV per cell


Q: Which of these has the highest total magnetization?
A: Pm2Sm3S4